# 1
CaBSbTe2: relaxed, GGA-PBEsol.

```
CaBSbTe2
1.0
5.6743 0.0000 0.0000
0.0000 5.6743 0.0000
0.0000 0.0000 5.6200
Ca B Sb Te
1 1 1 2
Cartesian
0.0000 0.0000 0.0000
2.8371 2.8371 2.8100
0.0000 0.0000 2.8100
0.0000 2.8371 0.0000
2.8371 0.0000 0.0000
```

Calculated values
Total magnetization   0.00 μB/cell
Symmetry   P4/mmm
Total energy   -14.31 eV for the cell shown
Crystal system   tetragonal
Uncorrected formation energy   1.2896 eV per atom

=====

# 2
K2CdCoAg: relaxed, GGA-PBEsol.

```
K2CdCoAg
1.0
5.8396 0.0000 0.0000
0.0000 5.8396 0.0000
0.0000 0.0000 4.9350
K Cd Co Ag
2 1 1 1
Cartesian
0.0000 2.9198 0.0000
2.9198 0.0000 0.0000
0.0000 0.0000 2.4675
0.0000 0.0000 0.0000
2.9198 2.9198 2.4675
```

Calculated values
Total magnetization   1.38 μB/cell
Symmetry   P4/mmm
Total energy   -10.54 eV for the cell shown
Crystal system   tetragonal

=====

- Which formula does entry 2 have?
  K2CdCoAg